VASP calculation (PBE) on crystalline Sr2TaCd at its relaxed geometry.

Cell: 3.620 3.620 9.637 Å, 90.00 90.00 90.00°
Fractional positions:
Cd: 0.500 0.500 0.699
Sr: 0.000 0.000 0.939
Sr: 0.500 0.500 0.312
Ta: 0.000 0.000 0.550

## Properties
ΔH_f (0 K) = 0.538 eV per atom
Crystal system = tetragonal

VASP calculation (PBE) on crystalline SrTaCd at its relaxed geometry.

Cell: 3.212 3.212 8.273 Å, 90.00 90.00 120.00°
Fractional positions:
Cd: 0.000 0.000 0.978
Sr: 0.333 0.667 0.341
Ta: 0.667 0.333 0.681

## Properties
Polymorph energy (0 for the lowest one) = 125.2 meV/atom
ΔH_f (0 K) = 0.698 eV per atom
Crystal system = trigonal

VASP calculation (PBE) on crystalline SrTaCd at its relaxed geometry.

Cell: 5.337 5.337 5.337 Å, 60.00 60.00 60.00°
Fractional positions:
Cd: 0.500 0.500 0.500
Sr: 0.750 0.750 0.750
Ta: 0.000 0.000 0.000

## Properties
Polymorph energy (0 for the lowest one) = 1123.1 meV/atom
ΔH_f (0 K) = 1.696 eV per atom
Crystal system = cubic

VASP calculation (PBE) on crystalline SrTaCd2 at its relaxed geometry.

Cell: 5.870 5.870 5.870 Å, 135.21 135.21 65.21°
Fractional positions:
Cd: 0.000 0.000 0.000
Cd: 0.250 0.750 0.500
Sr: 0.500 0.500 0.000
Ta: 0.750 0.250 0.500

## Properties
ΔH_f (0 K) = 0.626 eV per atom
Crystal system = tetragonal

VASP calculation (PBE) on crystalline SrTaCd2 at its relaxed geometry.

Cell: 5.476 5.476 3.134 Å, 90.00 90.00 90.00°
Fractional positions:
Cd: 0.000 0.000 0.000
Cd: 0.500 0.500 0.000
Sr: 0.500 0.000 0.500
Ta: 0.000 0.500 0.500

## Properties
ΔH_f (0 K) = 0.417 eV per atom
Crystal system = tetragonal

VASP calculation (PBE) on crystalline SrTaCd2 at its relaxed geometry.

Cell: 5.168 5.168 6.732 Å, 83.79 83.79 34.91°
Fractional positions:
Cd: 0.993 0.993 0.055
Cd: 0.507 0.507 0.445
Sr: 0.750 0.750 0.750
Ta: 0.250 0.250 0.250

## Properties
ΔH_f (0 K) = 0.467 eV per atom
Crystal system = monoclinic

VASP calculation (PBE) on crystalline Sr2TaCd at its relaxed geometry.

Cell: 5.212 3.553 6.909 Å, 75.12 90.00 90.00°
Fractional positions:
Cd: 0.500 0.572 0.731
Sr: 0.000 0.964 0.946
Sr: 0.500 0.283 0.310
Ta: 0.000 0.680 0.514

## Properties
ΔH_f (0 K) = 0.622 eV per atom
Crystal system = orthorhombic

VASP calculation (PBE) on crystalline SrTaCd2 at its relaxed geometry.

Cell: 10.841 10.841 10.841 Å, 17.11 17.11 17.11°
Fractional positions:
Cd: 0.008 0.008 0.008
Cd: 0.492 0.492 0.492
Sr: 0.250 0.250 0.250
Ta: 0.750 0.750 0.750

## Properties
ΔH_f (0 K) = 0.485 eV per atom
Crystal system = trigonal

Question: What is the ΔH_f (0 K) in the seventh record?
Answer: 0.622 eV per atom

Question: The lowest ΔH_f (0 K) belongs to which entry?
Answer: number 5

Question: The lowest ΔH_f (0 K) belongs to which entry?
Answer: number 5